1.
# GGA-PBE Na3Ho3PtO8, optimized geometry
data_Na3Ho3PtO8
_cell_length_a 6.6757
_cell_length_b 6.6757
_cell_length_c 16.6795
_cell_angle_alpha 90.00
_cell_angle_beta 90.00
_cell_angle_gamma 120.00
_space_group_name_H-M_alt 'R -3 m'
_space_group_IT_number 166
_space_group_name_Hall '-R 3 2"'
loop_
_atom_site_label
_atom_site_fract_x
_atom_site_fract_y
_atom_site_fract_z
Na1 0.0000 0.5000 0.0000
Ho1 0.0000 0.5000 0.5000
Pt1 0.0000 0.0000 0.5000
O1 0.0000 0.0000 0.2357
O2 0.0247 0.5124 0.2341
# Calculated total energy (eV per atom): -6.596
# V (Å³/atom): 14.30
# ΔE_f (raw) (meV/atom): -2369

2.
# GGA-PBE Li2HoGaAu4, optimized geometry
data_Li2HoGaAu4
_cell_length_a 4.5475
_cell_length_b 4.5475
_cell_length_c 24.4505
_cell_angle_alpha 90.00
_cell_angle_beta 90.00
_cell_angle_gamma 120.00
_space_group_name_H-M_alt 'R -3 m'
_space_group_IT_number 166
_space_group_name_Hall '-R 3 2"'
loop_
_atom_site_label
_atom_site_fract_x
_atom_site_fract_y
_atom_site_fract_z
Li1 0.0000 0.0000 0.2421
Ho1 0.0000 0.0000 0.0000
Ga1 0.0000 0.0000 0.5000
Au1 0.0000 0.0000 0.1267
Au2 0.0000 0.0000 0.3917
# Calculated total energy (eV per atom): -3.641
# V (Å³/atom): 18.25
# Formation energy from the elements (meV per atom): -573

> The lowest calculated total energy belongs to which entry?

Na3Ho3PtO8